A plane-wave DFT calculation with GGA-PBE was carried out for an optimized crystal structure of CsSnF3.

E_tot = -4.611 eV/atom
Total magnetic moment = 0.0 μB/f.u.
SG = P1 (1)
Uncorrected formation energy = -2516.6 meV per atom

Unit cell a=4.6685 b=4.6922 c=5.4136 alpha=93.46 beta=93.32 gamma=90.19
Closest atoms and distances in Å follow each position.
Fractional coordinates of all 5 atoms:
Cs1 0.0000 0.0000 0.0000  8 F 3.11-3.40
Sn1 0.5220 0.5227 0.4609  3 F 2.09-2.21
F1 0.0510 0.5117 0.3940  1 Sn 2.21
F2 0.5146 0.0572 0.3942  1 Sn 2.19
F3 0.5150 0.5185 0.0740  1 Sn 2.09